Below is a relaxed LaThCd6 crystal, with properties calculated at the GGA-PBE level.

Cell lengths 5.020, 6.909, 11.901 Å; angles 90.00, 90.00, 90.00 degrees
Element x y z (fractional)
La1 0.000 0.000 0.000
La2 0.000 0.500 0.500
Th1 0.500 0.000 0.671
Th2 0.500 0.500 0.171
Cd1 0.000 0.000 0.495
Cd2 0.000 0.234 0.256
Cd3 0.000 0.266 0.756
Cd4 0.000 0.500 0.995
Cd5 0.000 0.734 0.756
Cd6 0.000 0.766 0.256
Cd7 0.500 0.000 0.178
Cd8 0.500 0.231 0.414
Cd9 0.500 0.269 0.914
Cd10 0.500 0.500 0.678
Cd11 0.500 0.731 0.914
Cd12 0.500 0.769 0.414

Calculated values
E = -39.4 eV per cell

***

Below is a relaxed La8ThCd2 crystal, with properties calculated at the GGA-PBE level.

Cell lengths 9.199, 9.199, 8.487 Å; angles 111.09, 111.09, 34.10 degrees
Element x y z (fractional)
La1 0.045 0.045 0.246
La2 0.144 0.144 0.697
La3 0.314 0.314 0.542
La4 0.399 0.399 0.040
La5 0.601 0.601 0.960
La6 0.686 0.686 0.458
La7 0.856 0.856 0.303
La8 0.955 0.955 0.754
Th1 0.500 0.500 0.500
Cd1 0.217 0.217 0.132
Cd2 0.783 0.783 0.868

Calculated values
E = -49.6 eV per cell

***

Below is a relaxed LaThCd crystal, with properties calculated at the GGA-PBE level.

Cell lengths 3.686, 17.871, 5.705 Å; angles 90.00, 90.00, 90.00 degrees
Element x y z (fractional)
La1 0.000 0.093 0.250
La2 0.000 0.907 0.750
La3 0.500 0.407 0.750
La4 0.500 0.593 0.250
Th1 0.000 0.225 0.750
Th2 0.000 0.775 0.250
Th3 0.500 0.275 0.250
Th4 0.500 0.725 0.750
Cd1 0.000 0.437 0.250
Cd2 0.000 0.563 0.750
Cd3 0.500 0.063 0.750
Cd4 0.500 0.937 0.250

Calculated values
distance to the lowest polymorph of the same formula = 0.0 meV/atom
E = -54.7 eV per cell

***

Below is a relaxed LaThCd17 crystal, with properties calculated at the GGA-PBE level.

Cell lengths 7.690, 7.690, 7.690 Å; angles 82.40, 82.40, 82.40 degrees
Element x y z (fractional)
La1 0.000 0.000 0.000
Th1 0.666 0.666 0.666
Cd1 0.034 0.337 0.634
Cd2 0.034 0.634 0.337
Cd3 0.202 0.683 0.683
Cd4 0.241 0.241 0.241
Cd5 0.318 0.318 0.854
Cd6 0.318 0.854 0.318
Cd7 0.337 0.034 0.634
Cd8 0.337 0.634 0.034
Cd9 0.440 0.440 0.440
Cd10 0.529 0.964 0.964
Cd11 0.634 0.034 0.337
Cd12 0.634 0.337 0.034
Cd13 0.683 0.202 0.683
Cd14 0.683 0.683 0.202
Cd15 0.854 0.318 0.318
Cd16 0.964 0.529 0.964
Cd17 0.964 0.964 0.529

Calculated values
E = -30.4 eV per cell

***

Computed values of E_form (unit: eV per atom) for the preceding records, in sequence: -0.23; -0.09; -0.14; -0.13.
Computed values of volume (unit: Å³/cell) for the preceding records, in sequence: 413; 373; 376; 444.